The following is a DFT calculation (PBE-GGA) of a relaxed structure of MnPb2W.

Output
Symmetry: F-43m
DOS(E_F): 0.87 states/eV/atom
Energy relative to the elements: 1093 meV per atom
Offset from the most stable computed form: 2.645 eV/f.u.
Crystal system: cubic
Raw total energy: -25.17 eV per formula unit

abc: 4.9750 4.9750 4.9750
angles: 60.00 60.00 60.00
Element x y z (fractional)
1 Mn 0.0000 0.0000 0.0000
2 Pb 0.5000 0.5000 0.5000
3 Pb 0.7500 0.7500 0.7500
4 W 0.2500 0.2500 0.2500